Below is Ir9Os2Pt after structural relaxation, with properties calculated at the PBE level.

Values from the calculation:
**VASP energy**: -108.2 eV for the cell shown
**Formation enthalpy at 0 K**: 4 meV per atom

Cell and atoms, written as CIF:
```
data_Ir9Os2Pt
_chemical_formula_sum 'Ir9 Os2 Pt1'
_cell_length_a 3.8696
_cell_length_b 3.8696
_cell_length_c 11.6702
_cell_angle_alpha 90.00
_cell_angle_beta 90.00
_cell_angle_gamma 90.00
_symmetry_space_group_name_H-M 'P 4/m m m'
_symmetry_Int_Tables_number 123
_symmetry_space_group_name_Hall '-P 4 2'
loop_
_atom_site_label
_atom_site_type_symbol
_atom_site_fract_x
_atom_site_fract_y
_atom_site_fract_z
Ir1 Ir 0.0000 0.0000 0.0000
Ir2 Ir 0.0000 0.0000 0.3358
Ir3 Ir 0.0000 0.5000 0.1717
Ir4 Ir 0.0000 0.5000 0.5000
Os1 Os 0.5000 0.5000 0.3304
Pt1 Pt 0.5000 0.5000 0.0000
```